# LiC3

A relaxed LiC3 crystal (PBE, Alexandria).

a = 3.381 Å, b = 1.845 Å, c = 4.208 Å
α = 89.99°, β = 90.00°, γ = 90.00°
Element x y z (fractional)
C1 0.000 0.750 0.574
C2 0.000 0.750 0.926
C3 0.500 0.750 0.750
Li1 0.500 0.250 0.250

Computed properties:
Formation energy, eV per formula unit: 7.55
Distance to the lowest polymorph of the same formula, meV per atom: 1657.0
Space group: Pmmm, No. 47
Volume, Å³/atom: 6.56
D(E_F), states/eV per cell: 0.388



# Li7C

A relaxed Li7C crystal (PBE, Alexandria).

a = 5.467 Å, b = 5.467 Å, c = 5.467 Å
α = 60.00°, β = 60.00°, γ = 60.00°
Element x y z (fractional)
Li1 0.000 0.500 0.500
Li2 0.000 0.500 0.000
Li3 0.500 0.500 0.500
Li4 0.500 0.000 0.000
Li5 0.500 0.000 0.500
Li6 0.000 0.000 0.500
Li7 0.500 0.500 0.000
C1 0.000 0.000 0.000

Computed properties:
Formation energy, eV per formula unit: 3.96
Space group: Fm-3m, No. 225
Volume, Å³/atom: 14.44
D(E_F), states/eV per cell: 3.810



# Li3C

A relaxed Li3C crystal (PBE, Alexandria).

a = 4.368 Å, b = 4.368 Å, c = 4.368 Å
α = 141.46°, β = 117.38°, γ = 75.99°
Element x y z (fractional)
Li1 0.938 0.308 0.630
Li2 0.322 0.692 0.630
Li3 0.623 0.500 0.123
C1 0.950 0.000 0.950

Computed properties:
Formation energy, eV per formula unit: 1.98
Distance to the lowest polymorph of the same formula, meV per atom: 65.9
Space group: Imm2, No. 44
Volume, Å³/atom: 11.27
D(E_F), states/eV per cell: 1.300



# LiC3

A relaxed LiC3 crystal (PBE, Alexandria).

a = 2.672 Å, b = 2.672 Å, c = 4.608 Å
α = 90.00°, β = 90.00°, γ = 90.00°
Element x y z (fractional)
C1 0.000 0.000 0.400
C2 0.500 0.500 0.250
C3 0.000 0.000 0.100
Li1 0.500 0.500 0.750

Computed properties:
Formation energy, eV per formula unit: 7.95
Distance to the lowest polymorph of the same formula, meV per atom: 1756.2
Space group: P4/mmm, No. 123
Volume, Å³/atom: 8.23
D(E_F), states/eV per cell: 1.007



# LiC2

A relaxed LiC2 crystal (PBE, Alexandria).

a = 4.833 Å, b = 4.833 Å, c = 4.833 Å
α = 146.70°, β = 121.99°, γ = 68.55°
Element x y z (fractional)
Li1 0.828 0.078 0.750
Li2 0.172 0.922 0.250
C1 0.390 0.297 0.093
C2 0.296 0.703 0.593
C3 0.610 0.703 0.907
C4 0.704 0.297 0.407

Computed properties:
Formation energy, eV per formula unit: 2.17
Distance to the lowest polymorph of the same formula, meV per atom: 554.7
Space group: Imma, No. 74
Volume, Å³/atom: 8.64
D(E_F), states/eV per cell: 0.832



# LiC2

A relaxed LiC2 crystal (PBE, Alexandria).

a = 4.178 Å, b = 4.178 Å, c = 4.178 Å
α = 35.58°, β = 35.58°, γ = 35.58°
Element x y z (fractional)
Li1 0.000 0.000 0.000
C1 0.177 0.177 0.177
C2 0.823 0.823 0.823

Computed properties:
Formation energy, eV per formula unit: 0.50
Distance to the lowest polymorph of the same formula, meV per atom: 0.0
Space group: R-3m, No. 166
Volume, Å³/atom: 7.35
D(E_F), states/eV per cell: 0.597



# Li3C

A relaxed Li3C crystal (PBE, Alexandria).

a = 4.984 Å, b = 4.984 Å, c = 7.556 Å
α = 90.00°, β = 90.00°, γ = 120.00°
Element x y z (fractional)
C1 0.667 0.333 0.750
C2 0.000 0.000 0.000
C3 0.000 0.000 0.500
C4 0.333 0.667 0.250
Li1 0.857 0.143 0.250
Li2 0.500 0.500 0.500
Li3 0.143 0.857 0.750
Li4 0.500 0.000 0.500
Li5 0.857 0.714 0.250
Li6 0.714 0.857 0.750
Li7 0.143 0.286 0.750
Li8 0.500 0.500 0.000
Li9 0.500 0.000 0.000
Li10 0.286 0.143 0.250
Li11 0.000 0.500 0.000
Li12 0.000 0.500 0.500

Computed properties:
Formation energy, eV per formula unit: 2.42
Distance to the lowest polymorph of the same formula, meV per atom: 178.0
Space group: P6_3/mmc, No. 194
Volume, Å³/atom: 10.16
D(E_F), states/eV per cell: 8.171



# LiC3

A relaxed LiC3 crystal (PBE, Alexandria).

a = 6.195 Å, b = 6.195 Å, c = 2.508 Å
α = 90.00°, β = 90.00°, γ = 132.30°
Element x y z (fractional)
C1 0.755 0.964 0.250
C2 0.245 0.036 0.750
C3 0.036 0.245 0.250
C4 0.829 0.171 0.750
C5 0.171 0.829 0.250
C6 0.964 0.755 0.750
Li1 0.353 0.647 0.750
Li2 0.647 0.353 0.250

Computed properties:
Formation energy, eV per formula unit: 5.77
Distance to the lowest polymorph of the same formula, meV per atom: 1211.0
Space group: Cmcm, No. 63
Volume, Å³/atom: 8.90
D(E_F), states/eV per cell: 2.673



# Li3C

A relaxed Li3C crystal (PBE, Alexandria).

a = 3.739 Å, b = 3.739 Å, c = 3.739 Å
α = 60.00°, β = 60.00°, γ = 60.00°
Element x y z (fractional)
Li1 0.250 0.250 0.250
Li2 0.750 0.750 0.750
Li3 0.500 0.500 0.500
C1 0.000 0.000 0.000

Computed properties:
Formation energy, eV per formula unit: 1.91
Distance to the lowest polymorph of the same formula, meV per atom: 48.7
Space group: Fm-3m, No. 225
Volume, Å³/atom: 9.24
D(E_F), states/eV per cell: 0.942



# LiC3

A relaxed LiC3 crystal (PBE, Alexandria).

a = 3.354 Å, b = 3.354 Å, c = 5.220 Å
α = 90.00°, β = 90.00°, γ = 136.68°
Element x y z (fractional)
C1 0.000 0.000 0.915
C2 0.000 0.000 0.585
C3 0.500 0.500 0.750
Li1 0.500 0.500 0.250

Computed properties:
Formation energy, eV per formula unit: 5.89
Distance to the lowest polymorph of the same formula, meV per atom: 1240.5
Space group: Cmmm, No. 65
Volume, Å³/atom: 10.07
D(E_F), states/eV per cell: 0.901



# LiC2

A relaxed LiC2 crystal (PBE, Alexandria).

a = 3.932 Å, b = 3.932 Å, c = 5.864 Å
α = 80.05°, β = 80.05°, γ = 37.04°
Element x y z (fractional)
C1 0.452 0.452 0.125
C2 0.904 0.904 0.241
C3 0.548 0.548 0.875
C4 0.096 0.096 0.759
Li1 0.168 0.168 0.364
Li2 0.832 0.832 0.636

Computed properties:
Formation energy, eV per formula unit: 0.52
Distance to the lowest polymorph of the same formula, meV per atom: 5.6
Space group: C2/m, No. 12
Volume, Å³/atom: 8.95
D(E_F), states/eV per cell: 1.060



# LiC3

A relaxed LiC3 crystal (PBE, Alexandria).

a = 3.913 Å, b = 4.651 Å, c = 4.704 Å
α = 90.00°, β = 90.00°, γ = 90.00°
Element x y z (fractional)
C1 0.333 0.750 0.500
C2 0.167 0.250 0.000
C3 0.000 0.750 0.500
C4 0.833 0.250 0.000
C5 0.500 0.250 0.000
C6 0.667 0.750 0.500
Li1 0.500 0.249 0.500
Li2 0.000 0.751 0.000

Computed properties:
Formation energy, eV per formula unit: 1.68
Distance to the lowest polymorph of the same formula, meV per atom: 189.7
Space group: Pmmn, No. 59
Volume, Å³/atom: 10.70
D(E_F), states/eV per cell: 0.811